Here is a relaxed structure of Cs2CoPd3F12 from Alexandria via LeMat-Bulk. Energies are from PBE with a Hubbard U.

## Properties
Density: 4.6 g/cm³
Size of the total moment: 8.32 μB/cell
Total DFT energy (no corrections): -4.259 eV/atom

Lattice parameters (Å, degrees): 7.6790 7.6790 7.6790 59.48 59.48 59.48
With the nearest neighbours (Å) after each atom.
Sites, in units of the cell vectors:
Cs1 0.6328 0.6328 0.6328  6 F 3.22-3.26
Cs2 0.3672 0.3672 0.3672  6 F 3.22-3.26
Co1 0.0000 0.0000 0.0000  6 F 1.95
Pd1 0.5000 0.0000 0.0000  6 F 2.10-2.18
Pd2 0.0000 0.5000 0.0000  6 F 2.10-2.18
Pd3 0.0000 0.0000 0.5000  6 F 2.10-2.18
F1 0.3316 0.3316 0.9326  2 Pd 2.10
F2 0.9300 0.9300 0.3055  1 Co 1.95, 1 Pd 2.18
F3 0.3055 0.9300 0.9300  1 Co 1.95, 1 Pd 2.18
F4 0.9326 0.3316 0.3316  2 Pd 2.10
F5 0.9300 0.3055 0.9300  1 Co 1.95, 1 Pd 2.18
F6 0.3316 0.9326 0.3316  2 Pd 2.10
F7 0.6684 0.6684 0.0674  2 Pd 2.10
F8 0.0700 0.0700 0.6945  1 Co 1.95, 1 Pd 2.18
F9 0.6945 0.0700 0.0700  1 Co 1.95, 1 Pd 2.18
F10 0.0674 0.6684 0.6684  2 Pd 2.10
F11 0.0700 0.6945 0.0700  1 Co 1.95, 1 Pd 2.18
F12 0.6684 0.0674 0.6684  2 Pd 2.10